[1]
RbSiAgSe2S: optimized geometry, PBE.

Summary:
mass density: 4.53 g cm⁻³
total energy: -3.708 eV per atom

Unit cell a=3.6618 b=15.6152 c=10.5402 alpha=90.00 beta=90.00 gamma=90.00
With the nearest neighbours (Å) after each atom.
Space group Cmcm (No. 63)
Symmetry-distinct sites (fractional):
Rb 0.0000 0.2300 0.2500  2 Se 3.37, 2 S 3.44, 2 Ag 3.60, 2 Rb 3.66
Si 0.0000 0.5000 0.0000  4 Se 2.53, 2 S 2.72
Ag 0.0000 0.0716 0.7500  2 Se 2.54, 2 S 2.56
Se 0.0000 0.1112 0.5165  2 Si 2.53, 1 Ag 2.54
S 0.0000 0.4567 0.7500  2 Ag 2.56, 2 Si 2.72

---

[2]
RbAgSnSeS2: optimized geometry, PBE.

Summary:
mass density: 4.61 g cm⁻³
total energy: -3.728 eV per atom

Unit cell a=3.9217 b=15.4292 c=10.8440 alpha=90.00 beta=90.00 gamma=90.00
With the nearest neighbours (Å) after each atom.
Space group Cmcm (No. 63)
Symmetry-distinct sites (fractional):
Rb 0.0000 0.2407 0.2500  2 Se 3.43, 2 Ag 3.58, 6 S 3.62-3.79
Ag 0.0000 0.0651 0.7500  2 S 2.48, 2 Se 2.73
Sn 0.0000 0.5000 0.0000  4 S 2.67, 2 Se 2.86
Se 0.0000 0.4419 0.7500  2 Ag 2.73, 2 Sn 2.86
S 0.0000 0.1150 0.5324  1 Ag 2.48, 2 Sn 2.67

---

[3]
RbTaAgSeS2: optimized geometry, PBE.

Summary:
mass density: 5.85 g cm⁻³
total energy: -5.237 eV per atom

Unit cell a=3.6722 b=15.7020 c=10.1856 alpha=90.00 beta=90.00 gamma=90.00
With the nearest neighbours (Å) after each atom.
Space group Cmcm (No. 63)
Symmetry-distinct sites (fractional):
Rb 0.0000 0.2444 0.2500  2 Se 3.43, 2 Ag 3.57, 6 S 3.58-3.66, 2 Rb 3.67
Ta 0.0000 0.0000 0.0000  4 S 2.54, 2 Se 2.78
Ag 0.0000 0.4509 0.7500  2 S 2.43, 2 Se 2.63
Se 0.0000 0.0711 0.7500  2 Ag 2.63, 2 Ta 2.78
S 0.0000 0.3901 0.5306  1 Ag 2.43, 2 Ta 2.54

---

[4]
RbTaAgSe2S: optimized geometry, PBE.

Summary:
mass density: 6.25 g cm⁻³
total energy: -5.082 eV per atom

Unit cell a=3.8072 b=15.6368 c=10.0700 alpha=90.00 beta=90.00 gamma=90.00
With the nearest neighbours (Å) after each atom.
Space group Cmcm (No. 63)
Symmetry-distinct sites (fractional):
Rb 0.0000 0.2466 0.2500  6 Se 3.42-3.62, 2 S 3.49, 2 Ag 3.77, 2 Rb 3.81
Ta 0.0000 0.5000 0.0000  4 Se 2.67, 2 S 2.68
Ag 0.0000 0.0450 0.7500  2 S 2.51, 2 Se 2.54
Se 0.0000 0.1190 0.5257  1 Ag 2.54, 2 Ta 2.67
S 0.0000 0.4408 0.7500  2 Ag 2.51, 2 Ta 2.68

---

[5]
RbTcAgSeS2: optimized geometry, PBE.

Summary:
mass density: 4.98 g cm⁻³
total energy: -4.660 eV per atom

Unit cell a=3.6896 b=15.5772 c=10.0895 alpha=90.00 beta=90.00 gamma=90.00
With the nearest neighbours (Å) after each atom.
Space group Cmcm (No. 63)
Symmetry-distinct sites (fractional):
Rb 0.0000 0.2450 0.2500  2 Se 3.46, 2 Ag 3.51, 6 S 3.59-3.64, 2 Rb 3.69
Tc 0.0000 0.0000 0.0000  4 S 2.50, 2 Se 2.73
Ag 0.0000 0.4466 0.7500  2 S 2.43, 2 Se 2.63
Se 0.0000 0.0670 0.7500  2 Ag 2.63, 2 Tc 2.73
S 0.0000 0.3928 0.5235  1 Ag 2.43, 2 Tc 2.50

---

[6]
RbZrAgTeSeS: optimized geometry, PBE.

Summary:
mass density: 5.14 g cm⁻³
offset from the most stable computed form: 0.0000 eV per atom
total energy: -4.885 eV per atom

Unit cell a=8.8032 b=4.0597 c=10.2273 alpha=90.00 beta=112.36 gamma=90.00
With the nearest neighbours (Å) after each atom.
Space group P2_1/m (No. 11)
Symmetry-distinct sites (fractional):
Rb 0.2192 0.2500 0.2097  2 S 3.47, 3 Se 3.56-3.71, 3 Te 3.71-3.87
Zr 0.1750 0.7500 0.6517  3 S 2.62-2.66, 1 Se 2.68
Ag 0.4212 0.2500 0.8928  3 Se 2.72-2.87, 1 Te 2.75, 2 Ag 2.92
Te 0.4039 0.2500 0.6185  1 Ag 2.75, 2 Zr 2.97
Se 0.2362 0.7500 0.9295  1 Zr 2.68, 3 Ag 2.72-2.87
S 0.0227 0.7500 0.3722  3 Zr 2.62-2.66

---

Question: Look up the mass density of the sixth one.
Answer: 5.14 g cm⁻³

---

Copy entry 4 word for word.
RbTaAgSe2S: optimized geometry, PBE.

Summary:
mass density: 6.25 g cm⁻³
total energy: -5.082 eV per atom

Unit cell a=3.8072 b=15.6368 c=10.0700 alpha=90.00 beta=90.00 gamma=90.00
With the nearest neighbours (Å) after each atom.
Space group Cmcm (No. 63)
Symmetry-distinct sites (fractional):
Rb 0.0000 0.2466 0.2500  6 Se 3.42-3.62, 2 S 3.49, 2 Ag 3.77, 2 Rb 3.81
Ta 0.0000 0.5000 0.0000  4 Se 2.67, 2 S 2.68
Ag 0.0000 0.0450 0.7500  2 S 2.51, 2 Se 2.54
Se 0.0000 0.1190 0.5257  1 Ag 2.54, 2 Ta 2.67
S 0.0000 0.4408 0.7500  2 Ag 2.51, 2 Ta 2.68

---

Question: mass density of number 2 (RbAgSnSeS2)?
Answer: 4.61 g cm⁻³